[1]
First-principles (PBE) data for a relaxed GdYBr2 crystal, as listed in Alexandria via LeMat-Bulk.

Structure (POSCAR):
```
GdYBr2
1.0
3.677 0.000 0.000
1.839 3.185 0.000
1.839 1.062 10.100
Y Gd Br
1 1 2
direct
0.500 0.500 0.500
0.000 0.000 0.000
0.098 0.098 0.705
0.902 0.902 0.295
```

## Properties
V ... 29.6 Å³ per atom
Space-group type ... R-3m (166)
Formation energy (no corrections) ... -0.996 eV per atom
D(E_F) ... 1.363 states/eV/atom

=====

[2]
First-principles (PBE) data for a relaxed TePd2Au2 crystal, as listed in Alexandria via LeMat-Bulk.

Structure (POSCAR):
```
TePd2Au2
1.0
-4.895 3.057 4.046
-5.037 -3.588 -3.382
0.323 -2.855 2.548
Te Au Pd
2 4 4
direct
0.000 0.000 0.000
0.500 0.500 0.000
0.148 0.648 0.500
0.648 0.852 0.500
0.852 0.352 0.500
0.352 0.148 0.500
0.352 0.852 0.000
0.852 0.648 0.000
0.648 0.148 0.000
0.148 0.352 0.000
```

## Properties
V ... 19.1 Å³ per atom
Space-group type ... P4/mbm (127)
Formation energy (no corrections) ... -0.036 eV per atom
D(E_F) ... 0.332 states/eV/atom
Offset from the most stable computed form ... 0 kJ/mol of formula units